Below is Li2Cu2AgPd2 after structural relaxation, with properties calculated at the PBE-GGA level.

abc: 9.192 4.356 4.962
angles: 90.00 96.37 90.00
Space group C2/m (No. 12)
One atom of each set of equivalent atoms:
Li1 0.087 0.000 0.297 (multiplicity 4)
Cu1 0.139 0.500 0.562 (multiplicity 4)
Ag1 0.000 0.500 0.000 (multiplicity 2)
Pd1 0.201 0.000 0.838 (multiplicity 4)

density = 7.8 Mg/m³
energy = -3.8034 eV per atom
formation energy from the elements = -0.195 eV/atom
volume = 197.5 Å³ per cell